Compound: GaHRu2
Source: Alexandria via LeMat-Bulk
Functional: PBE
Structure: optimized geometry

Offset from the most stable computed form (kJ/mol of atoms): 0.5
SG: R-3m
Total magnetic moment (μB/f.u.): 0.00

Unit cell a=6.645 b=6.645 c=6.645 alpha=24.61 beta=24.61 gamma=24.61
Atoms (fractional coordinates):
1 Ga 0.000 0.000 0.000
2 H 0.500 0.500 0.500
3 Ru 0.225 0.225 0.225
4 Ru 0.775 0.775 0.775



Compound: Rb2U2CrSe6
Source: Alexandria via LeMat-Bulk
Functional: PBE
Structure: optimized geometry

Formation energy from raw total energies (meV per atom): -1067
SG: C2/m
Total magnetic moment (μB/f.u.): 8.00

Unit cell a=7.030 b=7.030 c=8.547 alpha=98.00 beta=98.00 gamma=119.80
Atoms (fractional coordinates):
1 Rb 0.167 0.833 0.000
2 Rb 0.833 0.167 0.000
3 U 0.333 0.667 0.500
4 U 0.667 0.333 0.500
5 Cr 0.000 0.000 0.500
6 Se 0.066 0.387 0.688
7 Se 0.252 0.252 0.318
8 Se 0.387 0.066 0.688
9 Se 0.613 0.934 0.312
10 Se 0.748 0.748 0.682
11 Se 0.934 0.613 0.312



Compound: CuGeTeN2
Source: Alexandria via LeMat-Bulk
Functional: PBE
Structure: optimized geometry

Offset from the most stable computed form (kJ/mol of atoms): 0.0
Formation energy from raw total energies (meV per atom): 1188
SG: P4/mmm
Total magnetic moment (μB/f.u.): 0.49

Unit cell a=3.693 b=3.693 c=6.626 alpha=90.00 beta=90.00 gamma=90.00
Atoms (fractional coordinates):
1 Cu 0.000 0.000 0.000
2 Ge 0.500 0.500 0.500
3 Te 0.500 0.500 0.000
4 N 0.000 0.500 0.500
5 N 0.500 0.000 0.500



Compound: La6TlZn3
Source: Alexandria via LeMat-Bulk
Functional: PBE
Structure: optimized geometry

SG: P2_1/m
Total magnetic moment (μB/f.u.): 0.00
ΔH_f (0 K) (eV/atom): -0.250

Unit cell a=9.700 b=5.310 c=11.788 alpha=90.00 beta=106.02 gamma=90.00
Atoms (fractional coordinates):
1 La 0.028 0.250 0.414
2 La 0.141 0.750 0.187
3 La 0.217 0.250 0.991
4 La 0.326 0.750 0.804
5 La 0.383 0.250 0.346
6 La 0.398 0.250 0.613
7 La 0.602 0.750 0.387
8 La 0.617 0.750 0.654
9 La 0.674 0.250 0.196
10 La 0.783 0.750 0.009
11 La 0.859 0.250 0.813
12 La 0.972 0.750 0.586
13 Tl 0.447 0.750 0.103
14 Tl 0.553 0.250 0.897
15 Zn 0.033 0.750 0.874
16 Zn 0.122 0.250 0.710
17 Zn 0.269 0.750 0.474
18 Zn 0.731 0.250 0.526
19 Zn 0.878 0.750 0.290
20 Zn 0.967 0.250 0.126



Compound: NiAsW2
Source: Alexandria via LeMat-Bulk
Functional: PBE
Structure: optimized geometry

SG: Pm
Total magnetic moment (μB/f.u.): 0.00
ΔH_f (0 K) (eV/atom): 0.166

Unit cell a=2.830 b=4.198 c=5.061 alpha=90.00 beta=103.52 gamma=90.00
Atoms (fractional coordinates):
1 Ni 0.000 0.000 0.000
2 As 0.904 0.500 0.777
3 W 0.352 0.000 0.518
4 W 0.596 0.500 0.244



Compound: SrPdO3
Source: Alexandria via LeMat-Bulk
Functional: PBE
Structure: optimized geometry

Formation energy from raw total energies (meV per atom): -1034
SG: C2/m
Total magnetic moment (μB/f.u.): 0.38

Unit cell a=7.252 b=7.252 c=6.181 alpha=91.20 beta=91.20 gamma=27.35
Atoms (fractional coordinates):
1 Sr 0.186 0.186 0.221
2 Sr 0.814 0.814 0.779
3 Pd 0.431 0.431 0.276
4 Pd 0.569 0.569 0.724
5 O 0.003 0.003 0.118
6 O 0.129 0.129 0.591
7 O 0.335 0.335 0.030
8 O 0.665 0.665 0.970
9 O 0.871 0.871 0.409
10 O 0.997 0.997 0.882



Compound: YLuMgTc
Source: Alexandria via LeMat-Bulk
Functional: PBE
Structure: optimized geometry

SG: F-43m
Total magnetic moment (μB/f.u.): 0.00
ΔH_f (0 K) (eV/atom): -0.027

Unit cell a=4.994 b=4.994 c=4.994 alpha=60.00 beta=60.00 gamma=60.00
Atoms (fractional coordinates):
1 Y 0.000 0.000 0.000
2 Lu 0.500 0.500 0.500
3 Mg 0.750 0.750 0.750
4 Tc 0.250 0.250 0.250



Compound: La6Zn7
Source: Alexandria via LeMat-Bulk
Functional: PBE
Structure: optimized geometry

SG: R-3m
Total magnetic moment (μB/f.u.): 0.00
ΔH_f (0 K) (eV/atom): -0.235

Unit cell a=11.199 b=11.199 c=11.199 alpha=30.25 beta=30.25 gamma=30.25
Atoms (fractional coordinates):
1 La 0.055 0.055 0.055
2 La 0.156 0.156 0.156
3 La 0.329 0.329 0.329
4 La 0.671 0.671 0.671
5 La 0.844 0.844 0.844
6 La 0.945 0.945 0.945
7 Zn 0.114 0.587 0.587
8 Zn 0.413 0.413 0.886
9 Zn 0.413 0.886 0.413
10 Zn 0.500 0.500 0.500
11 Zn 0.587 0.114 0.587
12 Zn 0.587 0.587 0.114
13 Zn 0.886 0.413 0.413



Q: Which value of total magnetic moment does entry 8 give?
A: 0.00 μB/f.u.